! NiSnO2, relaxed, DFT GGA+U; values from VASP
! **Density of states at the Fermi level**: 0.0 states/eV per cell
! **Raw total energy**: -40.2 eV for the cell shown
! **Magnetic moment**: 0.25 μB/atom
&SYSTEM
  ibrav = 0, nat = 8, ntyp = 3
/
ATOMIC_SPECIES
Ni 58.69 Ni.upf
Sn 118.71 Sn.upf
O 16.00 O.upf
CELL_PARAMETERS angstrom
3.411 0.000 0.000
-1.360 5.203 0.000
-0.115 -0.036 6.297
ATOMIC_POSITIONS angstrom
Ni 0.000 0.000 0.000
Ni -0.635 2.606 2.365
Sn 1.561 2.599 5.644
Sn 2.321 0.031 3.005
O 0.058 1.911 0.562
O -0.644 4.525 1.774
O 1.675 0.514 5.173
O 1.048 3.135 3.450